DFT (PBE-GGA) results for a relaxed structure of Re2GeTeF.

As for the mass density: 7.1 g/cm3. The formation energy without anion corrections is 2.0402 eV/atom. The magnetic moment comes out at 4.58 μB per cell.

a b c (Å): 4.965 5.600 4.965
angles (deg): 90.00 90.00 90.00
Fractional coordinates of all 5 atoms:
F: 0.500 0.500 0.500
Te: 0.000 0.000 0.000
Re: 0.500 0.000 0.000
Ge: 0.000 0.500 0.000
Re: 0.000 0.000 0.500